# 1
YZnIn | PBE | optimized geometry

Values from the calculation:
Its symmetry is No. 187. The total energy is -3.938 eV/atom. The value obtained for the theoretical density is 6.5 g/cm3. The magnetization is 0.00 μB per atom. The density of states at the Fermi level is 1.7 states/eV per cell.

Lattice parameters (Å, degrees): 4.6824 4.6824 3.6204 90.00 90.00 120.00
Fractional coordinates of all 3 atoms:
Y (0.0000, 0.0000, 0.0000)
Zn (0.3333, 0.6667, 0.5000)
In (0.6667, 0.3333, 0.5000)

# 2
YZnIn | PBE | optimized geometry

Values from the calculation:
Its symmetry is No. 8. The total energy is -3.858 eV/atom. The value obtained for the theoretical density is 6.4 g/cm3. The magnetization is 0.00 μB per atom. The density of states at the Fermi level is 3.9 states/eV per cell.

Lattice parameters (Å, degrees): 5.8602 5.8602 6.0200 91.65 91.65 42.60
Fractional coordinates of all 6 atoms:
Y (0.0000, 0.0000, 0.0000)
Y (0.6059, 0.6059, 0.5190)
Zn (0.3296, 0.3296, 0.2597)
Zn (0.9140, 0.9140, 0.4778)
In (0.3121, 0.3121, 0.7438)
In (0.7066, 0.7066, 0.0402)

# 3
YZnIn | PBE | optimized geometry

Values from the calculation:
Its symmetry is No. 38. The total energy is -3.817 eV/atom. The value obtained for the theoretical density is 6.4 g/cm3. The magnetization is 0.00 μB per atom. The density of states at the Fermi level is 4.9 states/eV per cell.

Lattice parameters (Å, degrees): 4.3373 7.3879 7.3879 36.19 90.00 90.00
Fractional coordinates of all 6 atoms:
Y (0.0000, 0.0000, 0.0000)
Y (0.0000, 0.3104, 0.3104)
Zn (0.5000, 0.1572, 0.1572)
Zn (0.5000, 0.8238, 0.8238)
In (0.0000, 0.6600, 0.6600)
In (0.5000, 0.4848, 0.4848)